(1)
Below is a relaxed Sr12AlGa6 crystal, with properties calculated at the PBE-GGA level.

crystal system: cubic
raw total energy: -2.43 eV per atom

Structure (extended XYZ):
```
19
Lattice="-5.5995 5.5995 5.5995 5.5995 -5.5995 5.5995 5.5995 5.5995 -5.5995" Properties=species:S:1:pos:R:3 pbc="T T T"
Sr 5.5995 -2.3233 3.5261
Sr 3.2762 2.0735 0.0000
Sr 7.9228 2.0735 0.0000
Sr 3.5261 5.5995 -2.3233
Sr 2.0735 0.0000 3.2762
Sr 0.0000 3.2762 2.0735
Sr 5.5995 2.3233 3.5261
Sr 3.5261 5.5995 2.3233
Sr 2.0735 0.0000 7.9228
Sr -2.3233 3.5261 5.5995
Sr 2.3233 3.5261 5.5995
Sr 0.0000 7.9228 2.0735
Al 0.0000 0.0000 0.0000
Ga 5.5995 0.0000 1.2947
Ga 5.5995 4.3048 0.0000
Ga 1.2947 5.5995 0.0000
Ga 4.3048 0.0000 5.5995
Ga 0.0000 1.2947 5.5995
Ga 0.0000 5.5995 4.3048
```

=====

(2)
Below is a relaxed CaCePb crystal, with properties calculated at the PBE-GGA level.

crystal system: cubic
raw total energy: -4.08 eV per atom

Structure (extended XYZ):
```
3
Lattice="0.0000 3.8116 3.8116 3.8116 0.0000 3.8116 3.8116 3.8116 0.0000" Properties=species:S:1:pos:R:3 pbc="T T T"
Ca 0.0000 0.0000 0.0000
Ce 3.8116 3.8116 3.8116
Pb 1.9058 1.9058 1.9058
```

=====

(3)
Below is a relaxed Ce2Co4Si crystal, with properties calculated at the PBE-GGA level.

uncorrected formation energy: -226 meV/atom
crystal system: orthorhombic

Structure (extended XYZ):
```
7
Lattice="0.0000 3.9437 4.0496 3.7161 0.0000 4.0496 3.7161 3.9437 0.0000" Properties=species:S:1:pos:R:3 pbc="T T T"
Ce 1.8580 1.9718 2.0248
Ce 5.5741 5.9155 6.0744
Co 5.9519 3.9437 4.0496
Co 3.7161 3.9437 1.8398
Co 3.7161 3.9437 6.2593
Co 1.4803 3.9437 4.0496
Si 3.7161 3.9437 4.0496
```

=====

(4)
Below is a relaxed Y2ScCd2 crystal, with properties calculated at the PBE-GGA level.

E above lowest polymorph: 356 meV per atom
crystal system: tetragonal

Structure (extended XYZ):
```
5
Lattice="-2.2742 2.2742 6.8651 2.2742 -2.2742 6.8651 2.2742 2.2742 -6.8651" Properties=species:S:1:pos:R:3 pbc="T T T"
Y 2.2742 0.0000 3.4325
Y 0.0000 2.2742 3.4325
Sc 0.0000 0.0000 0.0000
Cd 0.0000 0.0000 5.5420
Cd 0.0000 0.0000 8.1882
```

=====

(5)
Below is a relaxed Tb9PmSm2 crystal, with properties calculated at the PBE-GGA level.

E above lowest polymorph: 0 meV per atom
crystal system: tetragonal

Structure (extended XYZ):
```
12
Lattice="5.0593 0.0000 0.0000 0.0000 5.0593 0.0000 0.0000 0.0000 15.1847" Properties=species:S:1:pos:R:3 pbc="T T T"
Tb 0.0000 0.0000 0.0000
Tb 0.0000 0.0000 5.0664
Tb 0.0000 0.0000 10.1183
Tb 0.0000 2.5296 2.5374
Tb 0.0000 2.5296 7.5924
Tb 0.0000 2.5296 12.6473
Tb 2.5296 0.0000 2.5374
Tb 2.5296 0.0000 7.5924
Tb 2.5296 0.0000 12.6473
Pm 2.5296 2.5296 0.0000
Sm 2.5296 2.5296 5.0653
Sm 2.5296 2.5296 10.1194
```

=====

(6)
Below is a relaxed LaAs2HRh crystal, with properties calculated at the PBE-GGA level.

crystal system: tetragonal
raw total energy: -5.49 eV per atom

Structure (extended XYZ):
```
5
Lattice="5.0828 0.0000 0.0000 0.0000 5.0828 0.0000 0.0000 0.0000 3.5472" Properties=species:S:1:pos:R:3 pbc="T T T"
La 0.0000 0.0000 0.0000
As 0.0000 2.5414 1.7736
As 2.5414 0.0000 1.7736
H 2.5414 2.5414 0.0000
Rh 2.5414 2.5414 1.7736
```

=====

(7)
Below is a relaxed HoTmCu2Si2 crystal, with properties calculated at the PBE-GGA level.

uncorrected formation energy: -670 meV/atom
crystal system: trigonal

Structure (extended XYZ):
```
6
Lattice="4.1422 0.0000 0.0000 -2.0711 3.5873 0.0000 0.0000 0.0000 7.3192" Properties=species:S:1:pos:R:3 pbc="T T T"
Ho 0.0000 0.0000 0.0000
Tm 0.0000 0.0000 3.6596
Cu 0.0000 2.3915 5.4513
Cu 2.0711 1.1958 1.8679
Si 0.0000 2.3915 1.8480
Si 2.0711 1.1958 5.4712
```

=====

(8)
Below is a relaxed LiEr2PbS4 crystal, with properties calculated at the PBE-GGA level.

uncorrected formation energy: -1476 meV/atom
crystal system: orthorhombic

Structure (extended XYZ):
```
16
Lattice="-3.9894 4.0076 5.6152 3.9894 -4.0076 5.6152 3.9894 4.0076 -5.6152" Properties=species:S:1:pos:R:3 pbc="T T T"
Li 0.0000 0.0000 0.0000
Li 0.0000 4.0076 0.0000
Er 3.9894 0.0000 0.0000
Er -1.9947 2.0038 2.8076
Er 0.0000 0.0000 5.6152
Er 1.9947 2.0038 2.8076
Pb 1.9947 2.0038 -2.8076
Pb 1.9947 -2.0038 2.8076
S 2.0545 2.0038 0.1022
S 5.9243 2.0038 0.1022
S 0.0000 0.1511 2.8096
S 3.9894 0.1511 2.8056
S 0.0000 3.8565 2.8096
S 3.9894 3.8565 2.8056
S -1.9349 2.0038 5.5130
S 1.9349 2.0038 5.5130
```